The following is a DFT calculation (PBE) of a relaxed structure of Na2Sc2Br7.

Values from the calculation:
Energy relative to the elements, uncorrected   -1466.6 meV/atom
Energy above the lowest structure with this stoichiometry   68 meV per atom

a = 6.9475 Å, b = 7.3363 Å, c = 7.3363 Å
α = 69.30°, β = 88.76°, γ = 88.76°
Last column: nearest neighbours and their distance in Å.
Positions (direct):
Br (0.7591, 0.0823, 0.5189)  2 Sc 2.76-2.77, 1 Na 2.97
Br (0.2250, 0.4205, 0.4205)  1 Sc 2.62, 2 Na 2.84
Br (0.7591, 0.5189, 0.0823)  2 Sc 2.76-2.77, 1 Na 2.97
Br (0.2409, 0.4811, 0.9177)  2 Sc 2.76-2.77, 1 Na 2.97
Br (0.7750, 0.5795, 0.5795)  1 Sc 2.62, 2 Na 2.84
Br (0.0000, 0.0000, 0.0000)  2 Sc 2.85
Br (0.2409, 0.9177, 0.4811)  2 Sc 2.76-2.77, 1 Na 2.97
Sc (0.9597, 0.7656, 0.7656)  6 Br 2.62-2.85
Sc (0.0402, 0.2344, 0.2344)  6 Br 2.62-2.85
Na (0.5000, 0.2789, 0.7211)  4 Br 2.84-2.97
Na (0.5000, 0.7211, 0.2789)  4 Br 2.84-2.97